# PuGaOs, optimized geometry, DFT GGA-PBE
data_PuGaOs
_chemical_formula_sum 'Pu1 Ga1 Os1'
_cell_length_a 4.435
_cell_length_b 4.435
_cell_length_c 4.435
_cell_angle_alpha 60.00
_cell_angle_beta 60.00
_cell_angle_gamma 60.00
_symmetry_space_group_name_H-M 'P 1'
_symmetry_Int_Tables_number 1
loop_
_symmetry_equiv_pos_as_xyz
'x,y,z'
loop_
_atom_site_label
_atom_site_fract_x
_atom_site_fract_y
_atom_site_fract_z
Pu1 0.750 0.750 0.750
Ga1 0.250 0.250 0.250
Os1 0.000 0.000 0.000
# Size of the total moment (μB/f.u.): 4.75
# Calculated total energy (eV per cell): -28.4